CdSbS2Cl | Alexandria | meta-GGA SCAN | single point on PBEsol structure; formation energy (no corrections) = -0.67 eV per atom; mass density = 4.88 g cm⁻³; volume = 22.73 A^3/atom; spin magnetization = 0.0 μB per cell
1.0
9.4215 0.0000 0.0000
0.0000 3.8919 0.0000
0.0000 0.0000 12.3976
Cd Sb S Cl
4 4 8 4
Direct
0.9996 0.2500 0.2326 Cd
0.0004 0.7500 0.7674 Cd
0.4996 0.2500 0.2674 Cd
0.5004 0.7500 0.7326 Cd
0.1895 0.2500 0.5270 Sb
0.3105 0.7500 0.0270 Sb
0.6895 0.2500 0.9730 Sb
0.8105 0.7500 0.4730 Sb
0.0531 0.7500 0.3907 S
0.2418 0.7500 0.6656 S
0.2582 0.2500 0.1656 S
0.4469 0.2500 0.8907 S
0.5531 0.7500 0.1093 S
0.7418 0.7500 0.8344 S
0.7582 0.2500 0.3344 S
0.9469 0.2500 0.6093 S
0.0745 0.2500 0.8957 Cl
0.4255 0.7500 0.3957 Cl
0.5745 0.2500 0.6043 Cl
0.9255 0.7500 0.1043 Cl


Cd2SeSCl | Alexandria | meta-GGA SCAN | single point on PBEsol structure; formation energy (no corrections) = 0.16 eV per atom; mass density = 4.81 g cm⁻³; volume = 25.61 A^3/atom; spin magnetization = 0.0 μB per cell
1.0
5.2085 0.0000 0.0000
0.0000 5.2085 0.0000
0.0000 0.0000 4.7208
Cd Se S Cl
2 1 1 1
Direct
0.0000 0.5000 0.0000 Cd
0.5000 0.0000 0.0000 Cd
0.0000 0.0000 0.0000 Se
0.5000 0.5000 0.5000 S
0.0000 0.0000 0.5000 Cl


CdTcS2Cl | Alexandria | meta-GGA SCAN | single point on PBEsol structure; formation energy (no corrections) = -0.08 eV per atom; mass density = 5.11 g cm⁻³; volume = 20.16 A^3/atom; spin magnetization = 0.0 μB per cell
1.0
4.5294 0.0000 0.0000
0.0000 4.5294 0.0000
0.0000 0.0000 4.9125
Cd Tc S Cl
1 1 2 1
Direct
0.0000 0.0000 0.0000 Cd
0.5000 0.5000 0.5000 Tc
0.0000 0.5000 0.5000 S
0.5000 0.0000 0.5000 S
0.5000 0.5000 0.0000 Cl


CdSbCl2 | Alexandria | meta-GGA SCAN | single point on PBEsol structure; formation energy (no corrections) = -0.13 eV per atom; mass density = 5.70 g cm⁻³; volume = 22.22 A^3/atom; spin magnetization = 0.0 μB per cell; distance to the lowest polymorph of the same formula = 434 meV/atom
1.0
4.5258 0.0000 0.0000
0.0000 4.5258 0.0000
0.0000 0.0000 4.3393
Cd Sb Cl
1 1 2
Direct
0.0000 0.0000 0.0000 Cd
0.5000 0.5000 0.0000 Sb
0.0000 0.5000 0.5000 Cl
0.5000 0.0000 0.5000 Cl


CdSbCl2 | Alexandria | meta-GGA SCAN | single point on PBEsol structure; formation energy (no corrections) = -0.40 eV per atom; mass density = 5.00 g cm⁻³; volume = 25.34 A^3/atom; spin magnetization = 0.0 μB per cell; distance to the lowest polymorph of the same formula = 161 meV/atom
1.0
1.8383 1.0613 8.6595
-1.8383 1.0613 8.6595
0.0000 -2.1226 8.6595
Cd Sb Cl
1 1 2
Direct
0.0000 0.0000 0.0000 Cd
0.2480 0.2480 0.2480 Sb
0.5070 0.5070 0.5070 Cl
0.7265 0.7265 0.7265 Cl


Cd2SbCl | Alexandria | meta-GGA SCAN | single point on PBEsol structure; formation energy (no corrections) = -0.21 eV per atom; mass density = 6.78 g cm⁻³; volume = 23.39 A^3/atom; spin magnetization = 0.0 μB per cell; distance to the lowest polymorph of the same formula = 219 meV/atom
1.0
-1.5721 2.8981 5.1344
1.5721 -2.8981 5.1344
1.5721 2.8981 -5.1344
Cd Sb Cl
2 1 1
Direct
0.0000 0.0000 0.0000 Cd
0.7625 0.2625 0.5000 Cd
0.5141 0.5141 0.0000 Sb
0.2186 0.7186 0.5000 Cl